A plane-wave DFT calculation with PBE was carried out for crystalline Ac8Nd2Ho at its relaxed geometry.

Summary:
* magnetization: 0.000 Bohr magnetons per cell
* N(E_F): 19.6 states/eV/cell
* volume: 460 Å³ per cell
* ΔE_f: 0.04 eV per atom
* space-group type: C2/m, No. 12

Geometry as extended XYZ:
```
11
Lattice="5.3139 -0.0025 -1.6155 -0.8303 8.2189 -2.7394 0.2038 0.6591 10.2342" Properties=species:S:1:pos:R:3 pbc="T T T"
Ac 2.9340 7.7488 0.1031
Ac 1.8738 5.0499 6.1734
Ac 0.6313 1.7154 2.0769
Ac 5.0257 2.8153 6.9980
Ac 4.0560 7.1601 3.8024
Ac 2.8135 3.8257 -0.2940
Ac 1.7533 1.1267 5.7762
Ac -0.3383 6.0602 -1.1187
Nd 0.7675 5.5038 2.5300
Nd 3.9199 3.3717 3.3493
Ho 2.6569 -0.0012 -0.8078
```

A plane-wave DFT calculation with PBE was carried out for crystalline DyUCu2O8 at its relaxed geometry.

Summary:
* raw formation energy: -1.74 eV per atom
* magnetization: 2.875 Bohr magnetons per cell
* N(E_F): 8.5 states/eV/cell
* volume: 158 Å³ per cell
* space-group type: I-4m2, No. 119

Geometry as extended XYZ:
```
12
Lattice="5.8987 0.2699 0.0000 -2.3743 5.4065 0.0000 -1.7622 -2.8382 4.8690" Properties=species:S:1:pos:R:3 pbc="T T T"
Dy -1.1872 2.7032 2.4345
U 0.0000 0.0000 0.0000
Cu 2.9493 0.1349 2.4345
Cu 1.7622 2.8382 0.0000
O 1.4405 -0.4879 1.4812
O 0.3164 2.1137 0.8461
O -0.0081 -1.6171 4.0228
O 3.0603 -1.4936 3.3878
O 3.2080 3.5626 0.8461
O 4.4582 0.7578 1.4812
O 2.8384 1.7635 3.3878
O 0.0081 1.6171 4.0228
```

A plane-wave DFT calculation with PBE was carried out for crystalline La4CuRuCl2 at its relaxed geometry.

Summary:
* raw formation energy: -0.95 eV per atom
* magnetization: 0.000 Bohr magnetons per cell
* N(E_F): 5.2 states/eV/cell
* volume: 231 Å³ per cell
* space-group type: P2/m, No. 10

Geometry as extended XYZ:
```
8
Lattice="4.1884 0.0000 0.0000 0.0000 7.2110 0.1199 0.0000 -2.5373 7.5955" Properties=species:S:1:pos:R:3 pbc="T T T"
La 2.0942 1.2906 1.6084
La 2.0942 3.3831 6.1070
La 0.0000 -0.0600 6.0518
La 0.0000 4.7337 1.6635
Cu 0.0000 0.0000 0.0000
Ru 2.0942 3.6055 0.0599
Cl 2.0942 -1.2686 3.7977
Cl 0.0000 2.3369 3.8577
```

A plane-wave DFT calculation with PBE was carried out for crystalline SmPuRhO6 at its relaxed geometry.

Summary:
* raw formation energy: -2.32 eV per atom
* magnetization: 4.000 Bohr magnetons per cell
* N(E_F): 13.8 states/eV/cell
* volume: 254 Å³ per cell
* space-group type: P-31c, No. 163

Geometry as extended XYZ:
```
18
Lattice="-1.8772 4.5667 1.8899 -3.2010 -3.2913 -2.6213 -2.4896 -4.7496 9.0038" Properties=species:S:1:pos:R:3 pbc="T T T"
Sm 0.0000 0.0000 0.0000
Sm -1.2448 -2.3748 4.5019
Pu -2.9409 0.7600 2.6371
Pu -4.6270 -4.2341 5.6353
Rh -3.3822 -1.8593 1.1334
Rh -4.1857 -1.6148 7.1390
O -3.6524 0.1365 0.7590
O -1.4949 -1.7892 0.3397
O -2.2817 -1.4452 6.4024
O -6.0729 -1.6850 7.9327
O -2.6814 -1.2994 2.9751
O -3.0071 -3.8297 1.5502
O -3.3968 -1.1288 8.9660
O -5.2862 -2.0290 1.8700
O -4.5607 0.3555 6.7221
O -4.1710 -2.3454 -0.6936
O -4.8865 -2.1748 5.2973
O -3.9155 -3.6107 7.5134
```

A plane-wave DFT calculation with PBE was carried out for crystalline CaAsO4 at its relaxed geometry.

Summary:
* raw formation energy: -1.69 eV per atom
* magnetization: 4.140 Bohr magnetons per cell
* N(E_F): 7.7 states/eV/cell
* volume: 342 Å³ per cell
* space-group type: P-1, No. 2

Geometry as extended XYZ:
```
24
Lattice="7.0144 0.0142 0.0770 0.5579 6.9900 -0.0597 1.1734 1.5975 6.9835" Properties=species:S:1:pos:R:3 pbc="T T T"
Ca 4.6948 5.1859 1.8367
Ca 4.0508 3.4158 5.1642
Ca 2.2782 6.7030 4.5421
Ca 6.4675 1.8987 2.4587
As 5.6559 6.7124 4.9696
As 3.0898 1.8893 2.0313
As 1.1155 5.2631 1.3254
As 7.6302 3.3386 5.6754
O 6.2513 6.2503 6.5364
O 2.4944 2.3514 0.4644
O 4.5766 5.5570 4.2789
O 4.1691 3.0447 2.7219
O 6.9919 7.0087 3.9432
O 1.7538 1.5930 3.0577
O 4.6680 8.0940 5.2091
O 4.0777 0.5077 1.7918
O 2.9870 6.2502 6.8425
O 5.7587 2.3514 0.1584
O 6.9097 4.2494 2.0091
O 1.8359 4.3523 4.9917
O 7.3143 6.7956 1.0645
O 1.4314 1.8061 5.9364
O 2.4014 5.5342 2.4102
O 6.3442 3.0675 4.5906
```

A plane-wave DFT calculation with PBE was carried out for crystalline NaAg2CO at its relaxed geometry.

Summary:
* raw formation energy: 0.80 eV per atom
* magnetization: 1.810 Bohr magnetons per cell
* N(E_F): 3.4 states/eV/cell
* volume: 87 Å³ per cell
* space-group type: P4/mmm, No. 123

Geometry as extended XYZ:
```
5
Lattice="-3.4401 1.3724 -1.7733 -2.8286 -2.7628 3.3491 -0.0584 3.1915 2.5834" Properties=species:S:1:pos:R:3 pbc="T T T"
Na -1.4143 -1.3814 1.6746
C 0.0000 0.0000 0.0000
O -3.1636 0.9005 2.0796
Ag -0.0292 1.5957 1.2917
Ag -1.7201 0.6862 -0.8866
```

A plane-wave DFT calculation with PBE was carried out for crystalline Cr2Ni7Pt2 at its relaxed geometry.

Summary:
* magnetization: 0.004 Bohr magnetons per cell
* N(E_F): 17.5 states/eV/cell
* volume: 135 Å³ per cell
* ΔE_f: 0.07 eV per atom
* space-group type: C2/m, No. 12

Geometry as extended XYZ:
```
11
Lattice="4.6942 0.0123 -0.2067 -1.0204 6.1431 -1.0007 -0.1152 0.0123 4.6974" Properties=species:S:1:pos:R:3 pbc="T T T"
Cr 2.6010 3.0838 0.9071
Cr 0.9576 3.0838 2.5829
Ni -0.5066 4.9419 1.2740
Ni 2.2947 1.2257 4.0213
Ni 4.0653 1.2257 2.2160
Ni 1.2639 4.9419 -0.5313
Ni 0.0000 0.0000 0.0000
Ni 1.7097 0.8960 1.6767
Ni 1.8489 5.2717 1.8132
Pt 3.2881 3.7610 3.2246
Pt 0.2706 2.4067 0.2654
```

A plane-wave DFT calculation with PBE was carried out for crystalline TcOsNO2 at its relaxed geometry.

Summary:
* raw formation energy: 0.70 eV per atom
* magnetization: 3.264 Bohr magnetons per cell
* N(E_F): 3.3 states/eV/cell
* volume: 59 Å³ per cell
* space-group type: P4/mmm, No. 123

Geometry as extended XYZ:
```
5
Lattice="-2.9523 2.0162 -1.3051 -1.7948 -0.4778 3.3219 1.7174 3.4351 1.4220" Properties=species:S:1:pos:R:3 pbc="T T T"
Os -1.5148 2.4868 1.7193
Tc 0.0000 0.0000 0.0000
O -0.8974 -0.2389 1.6609
O -1.4761 1.0081 -0.6526
N 0.8587 1.7176 0.7110
```

A plane-wave DFT calculation with PBE was carried out for crystalline NdHgS2 at its relaxed geometry.

Summary:
* raw formation energy: -0.21 eV per atom
* magnetization: 0.245 Bohr magnetons per cell
* N(E_F): 4.2 states/eV/cell
* volume: 116 Å³ per cell
* space-group type: R-3m, No. 166

Geometry as extended XYZ:
```
4
Lattice="4.0313 0.0000 0.0000 2.0157 3.4912 0.0000 2.0157 1.1637 8.2504" Properties=species:S:1:pos:R:3 pbc="T T T"
S 2.0157 1.1637 5.5787
S 6.0470 3.4912 2.6716
Nd 0.0000 0.0000 0.0000
Hg 4.0313 2.3275 4.1252
```

A plane-wave DFT calculation with PBE was carried out for crystalline ZrZn2Co at its relaxed geometry.

Summary:
* magnetization: 0.000 Bohr magnetons per cell
* N(E_F): 1.7 states/eV/cell
* volume: 62 Å³ per cell
* ΔE_f: -0.15 eV per atom
* space-group type: P4/mmm, No. 123

Geometry as extended XYZ:
```
4
Lattice="-1.5068 -0.1452 4.1858 -2.7887 -2.2167 -1.0808 2.1198 -2.9883 0.6594" Properties=species:S:1:pos:R:3 pbc="T T T"
Co 0.3065 -1.5668 2.4226
Zn 0.0000 0.0000 0.0000
Zn -0.3344 -2.6025 -0.2107
Zr -2.1477 -1.1810 1.5525
```